## RbNpHg2I6 (PBE)

Data for RbNpHg2I6 after structural relaxation.

abc: 9.1034 9.1052 8.6984
angles: 90.01 121.56 119.99
Closest atoms and distances in Å follow each position.
Atoms (fractional coordinates):
Rb 0.9964 0.4977 0.4800  2 Hg 3.80, 6 I 3.82
Np 0.9965 0.9978 0.9802  6 I 2.95
Hg 0.3620 0.6803 0.0286  6 I 3.65-3.93, 1 Rb 3.80
Hg 0.6311 0.3151 0.9320  6 I 3.65-3.93, 1 Rb 3.80
I 0.5683 0.9158 0.7378  1 Np 2.95
I 0.4247 0.0797 0.2227  1 Np 2.95
I 0.8931 0.8123 0.2229  1 Np 2.95
I 0.1571 0.3439 0.2227  1 Np 2.95
I 0.8361 0.6516 0.7378  1 Np 2.95
I 0.1002 0.1835 0.7378  1 Np 2.95

## Properties
- V: 497.5 Å³/f.u.
- Magnetic moment: 2.0 Bohr magnetons per cell
- E_form (uncorrected): -0.66 eV/atom
- Raw total energy: -30.44 eV for the cell shown
- Density: 5.0 g cm⁻³



## BaLi6 (PBE)

Data for BaLi6 after structural relaxation.

abc: 6.2417 6.2417 6.2417
angles: 90.00 90.00 90.00
Closest atoms and distances in Å follow each position.
Atoms (fractional coordinates):
Ba 0.0000 0.0000 0.0000  24 Li 4.58
Li 0.1946 0.5000 0.5000  5 Li 2.43-2.70
Li 0.5000 0.5000 0.8054  5 Li 2.43-2.70
Li 0.5000 0.5000 0.1946  5 Li 2.43-2.70
Li 0.5000 0.1946 0.5000  5 Li 2.43-2.70
Li 0.5000 0.8054 0.5000  5 Li 2.43-2.70
Li 0.8054 0.5000 0.5000  5 Li 2.43-2.70

## Properties
- V: 243.2 Å³/f.u.
- Magnetic moment: 0.0 Bohr magnetons per cell
- Raw total energy: -10.92 eV for the cell shown
- Density: 1.2 g cm⁻³
- Energy above the lowest structure with this stoichiometry: 0.329 eV per atom